<a>
A plane-wave DFT calculation with PBE-GGA was carried out for a relaxed GdAgTeS crystal.

Results
Magnetic moment = 0.0 μB/cell

Cell lengths 4.441, 6.901, 6.890 Å; angles 90.00, 92.35, 90.00 degrees
Space group P2_1 (No. 4)
Asymmetric unit:
Gd1 0.216 0.000 0.292 (multiplicity 2)
Ag1 0.004 0.483 0.248 (multiplicity 2)
Te1 0.297 0.287 0.948 (multiplicity 2)
S1 0.257 0.693 0.550 (multiplicity 2)

<b>
A plane-wave DFT calculation with PBE-GGA was carried out for a relaxed GdAgTeS crystal.

Results
Magnetic moment = 0.0 μB/cell

Cell lengths 9.097, 10.598, 4.323 Å; angles 90.00, 90.00, 90.00 degrees
Space group Cmm2 (No. 35)
Asymmetric unit:
Gd1 0.000 0.000 0.000 (multiplicity 2)
Gd2 0.000 0.500 0.401 (multiplicity 2)
Ag1 0.250 0.250 0.112 (multiplicity 4)
Te1 0.000 0.210 0.492 (multiplicity 4)
S1 0.198 0.500 0.920 (multiplicity 4)

Which structure above is the least stable? It is <b>.